The following is a PBE-GGA calculation of a relaxed structure of TmCu2Au, from Alexandria via LeMat-Bulk.

Output
The calculation puts the density of states at the Fermi level at 10.396 states/eV per cell. The value obtained for the energy of formation is -0.35 eV per atom. The electronic total energy comes out at -4.334 eV/atom.

Unit cell a=6.4618 b=6.4618 c=6.4618 alpha=90.00 beta=90.00 gamma=90.00
Space group Fm-3m (No. 225)
Symmetry-distinct sites (fractional):
Tm1 0.0000 0.0000 0.0000 (multiplicity 4)
Cu1 0.2500 0.2500 0.2500 (multiplicity 8)
Au1 0.0000 0.0000 0.5000 (multiplicity 4)